The following is a DFT calculation (SCAN) of a crystal of LiCdFe2 relaxed with PBEsol.

Output
The formation energy from the elements comes out at 0.2031 eV per atom. As for the density of states at the Fermi level: 3.47 states/eV/cell.

Geometry as CIF:
```
data_LiCdFe2
_chemical_formula_sum 'Li1 Cd1 Fe2'
_symmetry_space_group_name_H-M 'P 4/m m m'
_symmetry_Int_Tables_number 123
_symmetry_space_group_name_Hall '-P 4 2'
_cell_length_a 3.519
_cell_length_b 3.519
_cell_length_c 4.246
_cell_angle_alpha 90.00
_cell_angle_beta 90.00
_cell_angle_gamma 90.00
loop_
_atom_site_label
_atom_site_fract_x
_atom_site_fract_y
_atom_site_fract_z
Li1 0.000 0.000 0.000
Cd1 0.500 0.500 0.000
Fe1 0.000 0.500 0.500
```